Compound: AlIn2Ga2
Source: the Alexandria database
Functional: SCAN
Structure: single point on PBEsol structure

Unit cell a=6.783 b=6.783 c=4.618 alpha=90.00 beta=90.00 gamma=90.00
Sites, in units of the cell vectors:
Al (0.000, 0.000, 0.000)
Al (0.500, 0.500, 0.000)
In (0.181, 0.319, 0.500)
In (0.319, 0.819, 0.500)
In (0.681, 0.181, 0.500)
In (0.819, 0.681, 0.500)
Ga (0.134, 0.634, 0.000)
Ga (0.366, 0.134, 0.000)
Ga (0.634, 0.866, 0.000)
Ga (0.866, 0.366, 0.000)

Summary:
Magnetic moment   0.000 μB per atom
Symmetry   P4/mbm
Energy relative to the elements   0.136 eV per atom

=====

Compound: AlInGaSb3
Source: the Alexandria database
Functional: SCAN
Structure: single point on PBEsol structure

Unit cell a=4.420 b=4.427 c=18.827 alpha=90.00 beta=90.00 gamma=90.00
Sites, in units of the cell vectors:
Al (0.000, 0.000, 0.000)
Al (0.500, 0.500, 0.500)
In (0.000, 0.000, 0.670)
In (0.500, 0.500, 0.170)
Ga (0.000, 0.000, 0.340)
Ga (0.500, 0.500, 0.840)
Sb (0.000, 0.500, 0.080)
Sb (0.000, 0.500, 0.419)
Sb (0.000, 0.500, 0.761)
Sb (0.500, 0.000, 0.261)
Sb (0.500, 0.000, 0.580)
Sb (0.500, 0.000, 0.919)

Summary:
Magnetic moment   0.000 μB per atom
E   -28.375 eV/atom
Symmetry   Imm2

=====

Compound: AlInGaSi2
Source: the Alexandria database
Functional: SCAN
Structure: single point on PBEsol structure

Unit cell a=4.771 b=4.771 c=4.860 alpha=90.00 beta=90.00 gamma=90.00
Sites, in units of the cell vectors:
Al (0.000, 0.000, 0.000)
In (0.500, 0.500, 0.500)
Ga (0.000, 0.000, 0.500)
Si (0.000, 0.500, 0.000)
Si (0.500, 0.000, 0.000)

Summary:
Magnetic moment   0.000 μB per atom
E   -14.747 eV/atom
Symmetry   P4/mmm

=====

Number 1: calculated density 6.191 g/cm³. Number 2: calculated density 5.199 g/cm³. Number 3: calculated density 4.018 g/cm³.